DFT (GGA-PBE) results for a relaxed structure of TmZnRh.

a b c (Å): 3.414 4.373 4.373
angles (deg): 120.00 90.00 90.00
Positions (direct):
Tm 0.667 0.667 0.333
Zn 0.167 0.000 0.000
Rh 0.167 0.333 0.667

Summary:
**Raw total energy**: -0.3672 Ry per atom
**E_form**: -0.630 eV per atom
**SG**: P-6m2 (187)